OsClF3 after structural relaxation. Source: Alexandria via LeMat-Bulk, functional PBE.

The structure in CIF format:
```
data_OsClF3
_chemical_formula_sum 'Os2 Cl2 F6'
_space_group_name_H-M_alt 'P -1'
_space_group_IT_number 2
_cell_length_a 5.491
_cell_length_b 6.119
_cell_length_c 6.147
_cell_angle_alpha 96.10
_cell_angle_beta 99.76
_cell_angle_gamma 98.23
loop_
_space_group_symop_operation_xyz
'x,y,z'
'-x,-y,-z'
loop_
_atom_site_label
_atom_site_type_symbol
_atom_site_fract_x
_atom_site_fract_y
_atom_site_fract_z
Os1 Os 0.208 0.060 0.062
Cl1 Cl 0.194 0.324 0.331
F1 F 0.252 0.273 0.863
F2 F 0.262 0.855 0.268
F3 F 0.343 0.859 0.855
```

Computed properties:
The calculation puts the density of states at the Fermi level at 0.952 states/eV/cell. The value obtained for the mass density is 4.70 g/cm³. The calculation puts the total energy at -50.83 eV for the cell shown.


ZrOs2Br after structural relaxation. Source: Alexandria via LeMat-Bulk, functional PBE.

The structure in CIF format:
```
data_ZrOs2Br
_chemical_formula_sum 'Zr4 Os8 Br4'
_space_group_name_H-M_alt 'F -4 3 m'
_space_group_IT_number 216
_space_group_name_Hall 'F -4 2 3'
_cell_length_a 6.519
_cell_length_b 6.519
_cell_length_c 6.519
_cell_angle_alpha 90.00
_cell_angle_beta 90.00
_cell_angle_gamma 90.00
loop_
_atom_site_label
_atom_site_type_symbol
_atom_site_fract_x
_atom_site_fract_y
_atom_site_fract_z
Zr1 Zr 0.000 0.000 0.000
Os1 Os 0.000 0.000 0.500
Os2 Os 0.250 0.250 0.750
Br1 Br 0.250 0.250 0.250
```

Computed properties:
The calculation puts the density of states at the Fermi level at 25.996 states/eV/cell. The value obtained for the mass density is 13.22 g/cm³. The calculation puts the total energy at -118.10 eV for the cell shown.


AcTl2Rh after structural relaxation. Source: Alexandria via LeMat-Bulk, functional PBE.

The structure in CIF format:
```
data_AcTl2Rh
_chemical_formula_sum 'Ac1 Tl2 Rh1'
_space_group_name_H-M_alt 'P 4/m m m'
_space_group_IT_number 123
_space_group_name_Hall '-P 4 2'
_cell_length_a 3.662
_cell_length_b 3.662
_cell_length_c 7.569
_cell_angle_alpha 90.00
_cell_angle_beta 90.00
_cell_angle_gamma 90.00
loop_
_atom_site_label
_atom_site_type_symbol
_atom_site_fract_x
_atom_site_fract_y
_atom_site_fract_z
Ac1 Ac 0.000 0.000 0.000
Tl1 Tl 0.500 0.500 0.305
Rh1 Rh 0.000 0.000 0.500
```

Computed properties:
The calculation puts the density of states at the Fermi level at 3.655 states/eV/cell. The value obtained for the mass density is 12.08 g/cm³. The calculation puts the total energy at -16.55 eV for the cell shown.


KLiTa2 after structural relaxation. Source: Alexandria via LeMat-Bulk, functional PBE.

The structure in CIF format:
```
data_KLiTa2
_chemical_formula_sum 'K3 Li3 Ta6'
_space_group_name_H-M_alt 'R 3 m'
_space_group_IT_number 160
_space_group_name_Hall 'R 3 -2"'
_cell_length_a 2.9448
_cell_length_b 2.9448
_cell_length_c 35.2941
_cell_angle_alpha 90.00
_cell_angle_beta 90.00
_cell_angle_gamma 120.00
loop_
_atom_site_label
_atom_site_type_symbol
_atom_site_fract_x
_atom_site_fract_y
_atom_site_fract_z
K1 K 0.0000 0.0000 0.0000
Li1 Li 0.0000 0.0000 0.7622
Ta1 Ta 0.0000 0.0000 0.2412
Ta2 Ta 0.0000 0.0000 0.5016
```

Computed properties:
The calculation puts the density of states at the Fermi level at 17.107 states/eV/cell. The value obtained for the mass density is 7.67 g/cm³. The calculation puts the total energy at -71.52 eV for the cell shown.